# 1
4
Lattice="0.000 3.756 3.756 3.756 0.000 3.756 3.756 3.756 0.000" Properties=species:S:1:pos:R:3 comment="Eu2AgGe PBE-GGA relaxed" space_group=Fm-3m delta_e_f_ev_per_atom=-0.48 pbc="T T T"
Eu 1.878 1.878 1.878
Eu 5.634 5.634 5.634
Ag 0.000 0.000 0.000
Ge 3.756 3.756 3.756



# 2
4
Lattice="2.085 -2.727 0.000 2.085 2.727 0.000 0.000 0.000 8.011" Properties=species:S:1:pos:R:3 comment="BeTe2Pt PBE-GGA relaxed" e_form_raw_ev_per_atom=-0.041 space_group=Cmm2 pbc="T T T"
Be 0.000 0.000 0.000
Te 0.000 0.000 2.709
Te 2.085 0.000 6.240
Pt 2.085 0.000 0.846



# 3
3
Lattice="-1.821 1.821 7.309 1.821 -1.821 7.309 1.821 1.821 -7.309" Properties=species:S:1:pos:R:3 comment="CaNdSn PBE-GGA relaxed" space_group=I4mm delta_e_f_ev_per_atom=-0.42 pbc="T T T"
Ca 0.000 0.000 0.000
Nd 0.000 0.000 10.387
Sn 0.000 0.000 5.178



# 4
14
Lattice="6.540 0.000 0.000 0.000 7.102 0.000 -2.972 0.000 9.143" Properties=species:S:1:pos:R:3 comment="CsKBeCl4 PBE-GGA relaxed" e_form_raw_ev_per_atom=-1.816 space_group=P2_1/m pbc="T T T"
Cs 0.365 1.775 3.656
Cs 3.203 5.326 5.487
K 2.039 5.326 0.251
K 1.529 1.775 8.892
Be -1.549 1.775 7.232
Be 5.117 5.326 1.911
Cl 1.137 1.775 0.124
Cl 0.339 5.326 2.922
Cl -0.461 0.115 6.760
Cl -0.461 3.436 6.760
Cl 4.029 3.666 2.382
Cl 4.029 6.987 2.382
Cl 3.229 1.775 6.220
Cl 2.431 5.326 9.018